A geometry-optimized CaPr2Si structure, computed with PBE-GGA.

Unit cell a=4.056 b=4.056 c=7.206 alpha=90.00 beta=90.00 gamma=90.00
Atoms (fractional coordinates):
Pr: 0.000 0.000 0.793
Pr: 0.000 0.000 0.207
Ca: 0.500 0.500 0.500
Si: 0.500 0.500 0.000

Its density of states at the Fermi level is 0.974 states/eV per atom. The calculation puts the raw formation energy at -17.8 kJ per mole of atoms. The value obtained for the relative energy among the computed polymorphs is 11 meV per atom. As for the total magnetization: 0.0 μB per formula unit.